Pr2NiO4: relaxed, GGA+U.

a = 6.7304 Å, b = 6.7304 Å, c = 5.6969 Å
α = 90.00°, β = 90.00°, γ = 132.27°
Last column: nearest neighbours and their distance in Å.
Atoms (fractional coordinates):
Pr: 0.1370 0.8630 0.9836  4 O 2.32-2.50
Pr: 0.3630 0.6370 0.4836  4 O 2.32-2.50
Pr: 0.6370 0.3630 0.5164  4 O 2.32-2.50
Pr: 0.8630 0.1370 0.0164  4 O 2.32-2.50
Ni: 0.0000 0.0000 0.5000  4 O 1.99
Ni: 0.5000 0.5000 0.0000  4 O 1.99
O: 0.1789 0.8211 0.5685  1 Ni 2.24, 2 Pr 2.32-2.42
O: 0.2303 0.2697 0.7500  2 Ni 1.99
O: 0.2697 0.2303 0.2500  2 Ni 1.99
O: 0.3211 0.6789 0.0685  1 Ni 2.24, 2 Pr 2.32-2.42
O: 0.6789 0.3211 0.9315  1 Ni 2.24, 2 Pr 2.32-2.42
O: 0.7303 0.7697 0.7500  2 Ni 1.99
O: 0.7697 0.7303 0.2500  2 Ni 1.99
O: 0.8211 0.1789 0.4315  1 Ni 2.24, 2 Pr 2.32-2.42

- Symmetry: Cmce
- Offset from the most stable computed form: 0.02 eV/f.u.